1.
Here is an optimized crystal structure of TePdPtSe2 from Alexandria. Energies are from PBE-GGA.

Unit cell a=5.3670 b=4.9291 c=5.3670 alpha=90.00 beta=90.00 gamma=90.00
With the nearest neighbours (Å) after each atom.
Element x y z (fractional)
Pd1 0.5000 0.5000 0.5000  8 Se 3.64, 4 Pt 3.80
Te1 0.0000 0.0000 0.0000  2 Pt 2.46, 4 Se 2.68
Pt1 0.0000 0.5000 0.0000  2 Te 2.46
Se1 0.5000 0.0000 0.0000  2 Te 2.68
Se2 0.0000 0.0000 0.5000  2 Te 2.68

The theoretical density comes out at 6.865 g/cm3. Its raw formation energy is 0.973 eV/atom. The total energy comes out at -16.48 eV per formula unit. The calculated volume comes out at 142.0 Å³ per cell.

***

2.
Here is an optimized crystal structure of ZrB3Ir3 from Alexandria. Energies are from PBE-GGA.

Unit cell a=5.8198 b=5.8198 c=5.8198 alpha=90.00 beta=90.00 gamma=90.00
With the nearest neighbours (Å) after each atom.
Element x y z (fractional)
Ir1 0.5000 0.0000 0.2500  4 B 2.06
Ir2 0.0000 0.7500 0.5000  4 B 2.06
Ir3 0.5000 0.0000 0.7500  4 B 2.06
Ir4 0.0000 0.2500 0.5000  4 B 2.06
Ir5 0.7500 0.5000 0.0000  4 B 2.06
Ir6 0.2500 0.5000 0.0000  4 B 2.06
B1 0.5000 0.2500 0.0000  4 Ir 2.06
B2 0.2500 0.0000 0.5000  4 Ir 2.06
B3 0.0000 0.5000 0.7500  4 Ir 2.06
B4 0.7500 0.0000 0.5000  4 Ir 2.06
B5 0.0000 0.5000 0.2500  4 Ir 2.06
B6 0.5000 0.7500 0.0000  4 Ir 2.06
Zr1 0.5000 0.5000 0.5000  12 Ir 3.25, 12 B 3.25
Zr2 0.0000 0.0000 0.0000  12 Ir 3.25, 12 B 3.25

The theoretical density comes out at 11.799 g/cm3. The total energy comes out at -55.89 eV per formula unit. The calculated volume comes out at 197.1 Å³ per cell.

***

3.
Here is an optimized crystal structure of BiMoRh2 from Alexandria. Energies are from PBE-GGA.

Unit cell a=5.6736 b=5.6736 c=7.3370 alpha=67.25 beta=67.25 gamma=90.00
With the nearest neighbours (Å) after each atom.
Element x y z (fractional)
Mo1 0.5000 0.5000 0.0000  4 Rh 2.40
Mo2 0.2500 0.7500 0.5000  4 Rh 2.40
Rh1 0.1667 0.6250 0.2500  2 Mo 2.40, 2 Bi 2.67
Rh2 0.8750 0.8333 0.7500  2 Mo 2.40, 2 Bi 2.67
Rh3 0.5833 0.1250 0.2500  2 Mo 2.40, 2 Bi 2.67
Rh4 0.3750 0.4167 0.7500  2 Mo 2.40, 2 Bi 2.67
Bi1 0.0000 0.0000 0.0000  4 Rh 2.67
Bi2 0.7500 0.2500 0.5000  4 Rh 2.67

The theoretical density comes out at 8.578 g/cm3. The total energy comes out at -26.70 eV per formula unit. The calculated volume comes out at 197.7 Å³ per cell.

***

4.
Here is an optimized crystal structure of Np2BiO7 from Alexandria. Energies are from PBE-GGA.

Unit cell a=3.8309 b=3.8309 c=10.6950 alpha=79.68 beta=79.68 gamma=60.00
With the nearest neighbours (Å) after each atom.
Element x y z (fractional)
Np1 0.9343 0.9343 0.1970  5 O 2.06-2.25
Np2 0.0657 0.0657 0.8030  5 O 2.06-2.25
O1 0.5799 0.5799 0.2602  3 Np 2.31, 3 O 2.47, 1 Bi 2.51
O2 0.1352 0.1352 0.5945  1 Np 2.18, 3 Bi 2.42
O3 0.8648 0.8648 0.4055  1 Np 2.18, 3 Bi 2.42
O4 0.2815 0.2815 0.1556  3 Np 2.25, 3 O 2.47
O5 0.4201 0.4201 0.7398  3 Np 2.31, 3 O 2.47, 1 Bi 2.51
O6 0.7185 0.7185 0.8444  3 Np 2.25, 3 O 2.47
O7 0.0000 0.0000 0.0000  2 Np 2.06
Bi1 0.5000 0.5000 0.5000  8 O 2.42-2.51

The theoretical density comes out at 9.926 g/cm3. Its raw formation energy is -2.364 eV/atom. The total energy comes out at -88.11 eV per formula unit. The calculated volume comes out at 133.0 Å³ per cell.